! ScInS2 (PBE, optimized geometry); values from VASP
! SG	No. 166
! ΔE_f (raw)	-1.193	eV/atom
&SYSTEM
  ibrav = 0, nat = 4, ntyp = 3
/
ATOMIC_SPECIES
Sc 44.96 Sc.upf
In 114.82 In.upf
S 32.06 S.upf
ATOMIC_POSITIONS crystal
Sc 0.000 0.000 0.000
In 0.500 0.500 0.500
S 0.391 0.391 0.391
S 0.609 0.609 0.609
CELL_PARAMETERS angstrom
1.850 1.068 8.281
-1.850 1.068 8.281
0.000 -2.136 8.281

=====

! Sc3InS (PBE, optimized geometry); values from VASP
! SG	No. 62
! ΔE_f (raw)	-0.991	eV/atom
&SYSTEM
  ibrav = 0, nat = 20, ntyp = 3
/
ATOMIC_SPECIES
Sc 44.96 Sc.upf
In 114.82 In.upf
S 32.06 S.upf
ATOMIC_POSITIONS crystal
Sc 0.036 0.250 0.112
Sc 0.166 0.250 0.505
Sc 0.208 0.750 0.283
Sc 0.292 0.250 0.783
Sc 0.334 0.750 0.005
Sc 0.464 0.750 0.612
Sc 0.536 0.250 0.388
Sc 0.666 0.250 0.995
Sc 0.708 0.750 0.217
Sc 0.792 0.250 0.717
Sc 0.834 0.750 0.495
Sc 0.964 0.750 0.888
In 0.073 0.750 0.670
In 0.427 0.250 0.170
In 0.573 0.750 0.830
In 0.927 0.250 0.330
S 0.155 0.250 0.943
S 0.345 0.750 0.443
S 0.655 0.250 0.557
S 0.845 0.750 0.057
CELL_PARAMETERS angstrom
8.407 0.000 0.000
0.000 3.664 0.000
0.000 0.000 13.909

=====

| no. | volume (Å³ per cell) |
| --- | --- |
| 1 | 98.2 |
| 2 | 428.5 |